# Na2LiZr2Se6 PBE-GGA relaxed
# - E: -5.06 eV/atom
# - Total magnetization: 0.00 μB/cell
# - Raw formation energy: -1.1915 eV/atom
# - D(E_F): 0.4766 states/eV/atom
data_Na2LiZr2Se6
_chemical_formula_sum 'Na4 Li2 Zr4 Se12'
_cell_length_a 6.664
_cell_length_b 11.638
_cell_length_c 7.529
_cell_angle_alpha 90.00
_cell_angle_beta 106.98
_cell_angle_gamma 90.00
_symmetry_space_group_name_H-M 'C 1 2/m 1'
_symmetry_Int_Tables_number 12
_symmetry_space_group_name_Hall '-C 2y'
loop_
_atom_site_label
_atom_site_fract_x
_atom_site_fract_y
_atom_site_fract_z
Na1 0.000 0.164 0.000
Li1 0.000 0.000 0.500
Zr1 0.000 0.334 0.500
Se1 0.227 0.500 0.719
Se2 0.244 0.172 0.719

***

# ReP PBE-GGA relaxed
# - Distance to the lowest polymorph of the same formula: 0.75 eV/f.u.
# - E: -8.84 eV/atom
# - Total magnetization: 0.00 μB/cell
# - D(E_F): 0.4678 states/eV/atom
data_ReP
_chemical_formula_sum 'Re4 P4'
_cell_length_a 2.967
_cell_length_b 3.979
_cell_length_c 9.370
_cell_angle_alpha 90.00
_cell_angle_beta 90.00
_cell_angle_gamma 90.00
_symmetry_space_group_name_H-M 'I m m a'
_symmetry_Int_Tables_number 74
_symmetry_space_group_name_Hall '-I 2b 2'
loop_
_atom_site_label
_atom_site_fract_x
_atom_site_fract_y
_atom_site_fract_z
Re1 0.000 0.250 0.115
P1 0.000 0.250 0.609

***

# Be2IrPb PBE-GGA relaxed
# - E: -4.39 eV/atom
# - Total magnetization: 0.00 μB/cell
# - D(E_F): 0.4877 states/eV/atom
data_Be2IrPb
_chemical_formula_sum 'Be8 Ir4 Pb4'
_cell_length_a 6.216
_cell_length_b 6.216
_cell_length_c 6.216
_cell_angle_alpha 90.00
_cell_angle_beta 90.00
_cell_angle_gamma 90.00
_symmetry_space_group_name_H-M 'F -4 3 m'
_symmetry_Int_Tables_number 216
_symmetry_space_group_name_Hall 'F -4 2 3'
loop_
_atom_site_label
_atom_site_fract_x
_atom_site_fract_y
_atom_site_fract_z
Be1 0.000 0.000 0.000
Be2 0.250 0.250 0.250
Ir1 0.000 0.000 0.500
Pb1 0.250 0.250 0.750